DFT (PBE) results for a relaxed LiP2Pt crystal.

Output
E_form: -382.2 meV/atom
Space group: C2/m, No. 12
Theoretical density: 6.55 g/cm3
Magnetic moment: 0.000 μB per atom
N(E_F): 0.401 states/eV/atom
Energy above the lowest structure with this stoichiometry: 7.4 kJ per mole of atoms

a = 3.928 Å, b = 3.928 Å, c = 5.489 Å
α = 76.90°, β = 76.90°, γ = 54.78°
Positions (direct):
Li: 0.250 0.250 0.250
P: 0.026 0.026 0.944
P: 0.474 0.474 0.556
Pt: 0.750 0.750 0.750